A plane-wave DFT calculation with GGA-PBE was carried out for a geometry-optimized NaBi2PbSe4 structure.

Cell and atoms, written as POSCAR:
```
NaBi2PbSe4
1.0
4.3450 0.0000 0.0000
0.0000 7.6005 0.2708
0.0000 -2.6700 6.8812
Na Bi Pb Se
1 2 1 4
direct
0.5000 0.5000 0.0000
0.5000 0.0000 0.5000
0.0000 0.5000 0.5000
0.0000 0.0000 0.0000
0.5000 0.2544 0.2624
0.5000 0.7456 0.7376
0.0000 0.2433 0.7337
0.0000 0.7567 0.2663
```

## Properties
The value obtained for the theoretical density is 6.948 Mg/m³. As for the raw formation energy: -530 meV per atom. Its space-group type is P2/m. The electronic total energy comes out at -3.871 eV per atom.